RbAlSe4 | GGA-PBE | optimized geometry

Results
E_form (uncorrected)   -0.633 eV per atom
Space-group type   C2/c, No. 15
Total magnetization   0.0 μB per cell
E   -3.741 eV/atom

abc: 6.1902 6.8769 13.0802
angles: 74.76 80.65 51.82
With the nearest neighbours (Å) after each atom.
Positions (direct):
Rb 0.7500 0.3755 0.2490  4 Se 3.39-3.78
Rb 0.2500 0.6245 0.7510  4 Se 3.39-3.78
Al 0.2500 0.0016 0.9969  4 Se 2.40
Al 0.7500 0.9984 0.0031  4 Se 2.40
Se 0.8516 0.2655 0.8848  2 Al 2.40
Se 0.1212 0.1763 0.5016  1 Se 2.35
Se 0.6484 0.8497 0.8848  2 Al 2.40
Se 0.3788 0.3222 0.5016  1 Se 2.35
Se 0.6212 0.6778 0.4984  1 Se 2.35
Se 0.3516 0.1503 0.1152  2 Al 2.40
Se 0.8788 0.8237 0.4984  1 Se 2.35
Se 0.1484 0.7345 0.1152  2 Al 2.40

---

RbAlSe | GGA-PBE | optimized geometry

Results
E_form (uncorrected)   -0.324 eV per atom
Space-group type   P4/nmm, No. 129
Total magnetization   0.0 μB per cell
E   -3.055 eV/atom

abc: 5.2987 5.2987 7.1291
angles: 90.00 90.00 90.00
With the nearest neighbours (Å) after each atom.
Positions (direct):
Se 0.0000 0.5000 0.3512  4 Al 2.85
Se 0.5000 0.0000 0.6488  4 Al 2.85
Rb 0.0000 0.5000 0.8559  2 Se 3.53-3.60, 4 Al 3.67
Rb 0.5000 0.0000 0.1441  2 Se 3.53-3.60, 4 Al 3.67
Al 0.0000 0.0000 0.5000  4 Se 2.85
Al 0.5000 0.5000 0.5000  4 Se 2.85

---

RbAl4Se7 | GGA-PBE | optimized geometry

Results
E_form (uncorrected)   -0.878 eV per atom
Space-group type   Pmn2_1, No. 31
Total magnetization   2.0 μB per cell
E   -4.239 eV/atom

abc: 6.3548 6.7432 15.8760
angles: 90.00 90.00 90.00
With the nearest neighbours (Å) after each atom.
Positions (direct):
Rb 0.4935 0.8106 0.5000  12 Se 3.74-4.08
Rb 0.9935 0.1894 0.0000  12 Se 3.74-4.08
Al 0.5985 0.6680 0.8774  4 Se 2.39-2.46
Al 0.0779 0.8189 0.2514  4 Se 2.38-2.48
Al 0.5779 0.1811 0.2486  4 Se 2.38-2.48
Al 0.0985 0.3320 0.6226  4 Se 2.39-2.46
Al 0.0985 0.3320 0.3774  4 Se 2.39-2.46
Al 0.5985 0.6680 0.1226  4 Se 2.39-2.46
Al 0.0779 0.8189 0.7486  4 Se 2.38-2.48
Al 0.5779 0.1811 0.7514  4 Se 2.38-2.48
Se 0.9750 0.6907 0.1182  2 Al 2.38-2.40
Se 0.4750 0.3093 0.3818  2 Al 2.38-2.40
Se 0.4774 0.3325 0.8807  2 Al 2.38-2.39
Se 0.9774 0.6675 0.6193  2 Al 2.38-2.39
Se 0.9774 0.6675 0.3807  2 Al 2.38-2.39
Se 0.4774 0.3325 0.1193  2 Al 2.38-2.39
Se 0.4677 0.8320 0.7491  3 Al 2.46-2.48
Se 0.9677 0.1680 0.7509  3 Al 2.46-2.48
Se 0.9677 0.1680 0.2491  3 Al 2.46-2.48
Se 0.4677 0.8320 0.2509  3 Al 2.46-2.48
Se 0.4685 0.8421 0.0000  2 Al 2.42
Se 0.9685 0.1579 0.5000  2 Al 2.42
Se 0.9750 0.6907 0.8818  2 Al 2.38-2.40
Se 0.4750 0.3093 0.6182  2 Al 2.38-2.40

---

Among the records above, which one has the highest E? RbAlSe